(1)
Computed, not measured: Th2TaPt after structural relaxation at the PBE level of DFT.

Properties
Formation enthalpy at 0 K, eV per atom: 0.309
Total energy, eV/atom: -7.8742

The structure in POSCAR format:
```
Th2TaPt
1.0
1.6847 0.9726 10.3900
-1.6847 0.9726 10.3900
0.0000 -1.9453 10.3900
Th Ta Pt
2 1 1
Cartesian
0.0000 0.0000 2.9213 Th
0.0000 0.0000 28.2486 Th
0.0000 0.0000 0.0000 Ta
0.0000 0.0000 15.5850 Pt
```


(2)
Computed, not measured: TaTi3Pt after structural relaxation at the PBE level of DFT.

Properties
Formation enthalpy at 0 K, eV per atom: 0.657
Energy above the most stable polymorph in this dataset, meV per atom: 905
Total energy, eV/atom: -7.6585

The structure in POSCAR format:
```
TaTi3Pt
1.0
4.7300 0.0000 0.0000
0.0000 4.7300 0.0000
0.0000 0.0000 4.7300
Ta Ti Pt
1 3 1
Cartesian
0.0000 0.0000 0.0000 Ta
0.0000 2.3650 2.3650 Ti
2.3650 0.0000 2.3650 Ti
2.3650 2.3650 0.0000 Ti
2.3650 2.3650 2.3650 Pt
```


(3)
Computed, not measured: TaTi3Pt after structural relaxation at the PBE level of DFT.

Properties
Formation enthalpy at 0 K, eV per atom: 1.013
Energy above the most stable polymorph in this dataset, meV per atom: 1261
Total energy, eV/atom: -7.3025

The structure in POSCAR format:
```
TaTi3Pt
1.0
4.7093 0.0000 0.0000
0.0000 4.7093 0.0000
0.0000 0.0000 4.7093
Ta Ti Pt
1 3 1
Cartesian
0.0000 0.0000 0.0000 Ta
0.0000 0.0000 2.3546 Ti
0.0000 2.3546 0.0000 Ti
2.3546 0.0000 0.0000 Ti
2.3546 2.3546 2.3546 Pt
```


(4)
Computed, not measured: Ta2TiPt after structural relaxation at the PBE level of DFT.

Properties
Formation enthalpy at 0 K, eV per atom: 0.135
Energy above the most stable polymorph in this dataset, meV per atom: 557
Total energy, eV/atom: -9.2750

The structure in POSCAR format:
```
Ta2TiPt
1.0
-1.9084 1.9084 10.0461
1.9084 -1.9084 10.0461
1.9084 1.9084 -10.0461
Ta Ti Pt
4 2 2
Cartesian
2.8626 0.9430 -2.5115 Ta
0.9430 0.9542 2.5115 Ta
-0.9542 0.9654 7.5345 Ta
0.9654 0.9542 12.5576 Ta
0.0000 0.0000 0.0000 Ti
0.0000 1.9084 5.0230 Ti
1.9084 0.0000 5.0230 Pt
0.0000 0.0000 10.0461 Pt
```


(5)
Computed, not measured: TaTiPt3 after structural relaxation at the PBE level of DFT.

Properties
Formation enthalpy at 0 K, eV per atom: 0.687
Energy above the most stable polymorph in this dataset, meV per atom: 1252
Total energy, eV/atom: -6.8872

The structure in POSCAR format:
```
TaTiPt3
1.0
4.6187 0.0000 0.0000
0.0000 4.6187 0.0000
0.0000 0.0000 4.6187
Ta Ti Pt
1 1 3
Cartesian
0.0000 0.0000 0.0000 Ta
2.3094 2.3094 2.3094 Ti
0.0000 2.3094 2.3094 Pt
2.3094 0.0000 2.3094 Pt
2.3094 2.3094 0.0000 Pt
```


(6)
Computed, not measured: Ta2TiPt after structural relaxation at the PBE level of DFT.

Properties
Formation enthalpy at 0 K, eV per atom: -0.422
Energy above the most stable polymorph in this dataset, meV per atom: 0
Total energy, eV/atom: -9.8321

The structure in POSCAR format:
```
Ta2TiPt
1.0
3.2766 0.0000 0.0000
0.0000 3.2766 0.0000
0.0000 0.0000 6.3528
Ta Ti Pt
2 1 1
Cartesian
0.0000 0.0000 0.0000 Ta
1.6383 1.6383 1.6100 Ta
1.6383 1.6383 4.7840 Ti
0.0000 0.0000 3.2282 Pt
```


(7)
Computed, not measured: Ta2TiPt after structural relaxation at the PBE level of DFT.

Properties
Formation enthalpy at 0 K, eV per atom: -0.341
Energy above the most stable polymorph in this dataset, meV per atom: 81
Total energy, eV/atom: -9.7514

The structure in POSCAR format:
```
Ta2TiPt
1.0
3.9337 0.0000 0.0000
0.0000 3.9337 0.0000
0.0000 0.0000 4.4042
Ta Ti Pt
2 1 1
Cartesian
0.0000 1.9669 0.0000 Ta
1.9669 0.0000 0.0000 Ta
0.0000 0.0000 2.2021 Ti
1.9669 1.9669 2.2021 Pt
```


(8)
Computed, not measured: Ta2TiPt2 after structural relaxation at the PBE level of DFT.

Properties
Formation enthalpy at 0 K, eV per atom: -0.156
Energy above the most stable polymorph in this dataset, meV per atom: 259
Total energy, eV/atom: -8.8919

The structure in POSCAR format:
```
Ta2TiPt2
1.0
-1.9930 1.9930 5.9923
1.9930 -1.9930 5.9923
1.9930 1.9930 -5.9923
Ta Ti Pt
2 1 2
Cartesian
1.9930 0.0000 2.9962 Ta
0.0000 1.9930 2.9962 Ta
0.0000 0.0000 0.0000 Ti
0.0000 0.0000 4.7477 Pt
0.0000 0.0000 7.2369 Pt
```


(9)
Computed, not measured: Ta3TiPt after structural relaxation at the PBE level of DFT.

Properties
Formation enthalpy at 0 K, eV per atom: -0.116
Energy above the most stable polymorph in this dataset, meV per atom: 0
Total energy, eV/atom: -10.0152

The structure in POSCAR format:
```
Ta3TiPt
1.0
7.1352 -1.3821 0.0000
7.1352 1.3821 0.0000
-3.4459 0.0000 8.8472
Ta Ti Pt
6 2 2
Cartesian
0.3023 0.0000 1.3888 Ta
0.9747 0.0000 6.5287 Ta
4.8437 0.0000 0.5496 Ta
5.9807 0.0000 8.2976 Ta
9.8497 0.0000 2.3184 Ta
10.5221 0.0000 7.4583 Ta
-1.6078 0.0000 5.7184 Ti
12.4322 0.0000 3.1287 Ti
3.3193 0.0000 4.7709 Pt
7.5051 0.0000 4.0762 Pt
```


(10)
Computed, not measured: Ta2TiPt2 after structural relaxation at the PBE level of DFT.

Properties
Formation enthalpy at 0 K, eV per atom: -0.415
Energy above the most stable polymorph in this dataset, meV per atom: 0
Total energy, eV/atom: -9.1510

The structure in POSCAR format:
```
Ta2TiPt2
1.0
7.3517 0.0000 0.0000
0.0000 7.3517 0.0000
0.0000 0.0000 3.2697
Ta Ti Pt
4 2 4
Cartesian
1.2770 2.3989 0.0000 Ta
2.3989 6.0747 0.0000 Ta
4.9528 1.2770 0.0000 Ta
6.0747 4.9528 0.0000 Ta
0.0000 0.0000 1.6348 Ti
3.6758 3.6758 1.6348 Ti
0.9501 4.6260 1.6348 Pt
2.7257 0.9501 1.6348 Pt
4.6260 6.4016 1.6348 Pt
6.4016 2.7257 1.6348 Pt
```


(11)
Computed, not measured: Ta3TiPt after structural relaxation at the PBE level of DFT.

Properties
Formation enthalpy at 0 K, eV per atom: 1.204
Energy above the most stable polymorph in this dataset, meV per atom: 1320
Total energy, eV/atom: -8.6948

The structure in POSCAR format:
```
Ta3TiPt
1.0
4.8699 0.0000 0.0000
0.0000 4.8699 0.0000
0.0000 0.0000 4.8699
Ta Ti Pt
3 1 1
Cartesian
0.0000 0.0000 2.4350 Ta
0.0000 2.4350 0.0000 Ta
2.4350 0.0000 0.0000 Ta
2.4350 2.4350 2.4350 Ti
0.0000 0.0000 0.0000 Pt
```


(12)
Computed, not measured: TaTiPt after structural relaxation at the PBE level of DFT.

Properties
Formation enthalpy at 0 K, eV per atom: -0.498
Energy above the most stable polymorph in this dataset, meV per atom: 0
Total energy, eV/atom: -9.0937

The structure in POSCAR format:
```
TaTiPt
1.0
4.9244 0.0000 0.0000
-2.0871 4.4769 0.0000
-0.6453 -2.6434 4.5650
Ta Ti Pt
2 2 2
Cartesian
-0.9141 1.4048 1.0684 Ta
3.1060 0.4287 3.4966 Ta
0.5687 -1.0843 3.3397 Ti
1.6233 2.9179 1.2253 Ti
1.4969 0.0497 1.1436 Pt
0.6950 1.7839 3.4214 Pt
```